Record 1
The following is a DFT calculation (GGA+U) of an optimized crystal structure of Cr3GaO6.

Summary:
Uncorrected energy: -0.534 Ry per atom
V: 102 Å³/f.u.

abc: 6.420 6.420 5.080
angles: 90.00 90.00 102.04
Atoms (fractional coordinates):
Cr1 0.116 0.884 0.500
Cr2 0.176 0.411 0.470
Cr3 0.411 0.176 0.970
Cr4 0.589 0.824 0.470
Cr5 0.824 0.589 0.970
Cr6 0.884 0.116 0.000
Ga1 0.346 0.654 0.936
Ga2 0.654 0.346 0.436
O1 0.082 0.608 0.741
O2 0.141 0.195 0.760
O3 0.195 0.141 0.260
O4 0.282 0.718 0.282
O5 0.392 0.918 0.741
O6 0.476 0.524 0.614
O7 0.524 0.476 0.114
O8 0.608 0.082 0.241
O9 0.718 0.282 0.782
O10 0.805 0.859 0.760
O11 0.859 0.805 0.260
O12 0.918 0.392 0.241

***

Record 2
The following is a DFT calculation (GGA+U) of an optimized crystal structure of CrGa3O.

Summary:
Uncorrected energy: -0.265 Ry per atom
DOS(E_F): 1.27 states/eV/f.u.
V: 117 Å³/f.u.

abc: 4.891 4.891 4.891
angles: 90.00 90.00 90.00
Atoms (fractional coordinates):
Cr1 0.000 0.000 0.000
Ga1 0.000 0.000 0.500
Ga2 0.000 0.500 0.000
Ga3 0.500 0.000 0.000
O1 0.500 0.500 0.500

***

Record 3
The following is a DFT calculation (GGA+U) of an optimized crystal structure of Cr2Ga4O9.

Summary:
Uncorrected energy: -0.488 Ry per atom
DOS(E_F): 0.00 states/eV/f.u.
V: 152 Å³/f.u.

abc: 5.068 5.068 13.692
angles: 90.00 90.00 120.00
Atoms (fractional coordinates):
Cr1 0.000 0.000 0.149
Cr2 0.000 0.000 0.351
Cr3 0.000 0.000 0.649
Cr4 0.000 0.000 0.851
Ga1 0.333 0.667 0.185
Ga2 0.333 0.667 0.477
Ga3 0.333 0.667 0.685
Ga4 0.333 0.667 0.977
Ga5 0.667 0.333 0.023
Ga6 0.667 0.333 0.315
Ga7 0.667 0.333 0.523
Ga8 0.667 0.333 0.815
O1 0.000 0.305 0.250
O2 0.000 0.695 0.750
O3 0.031 0.365 0.583
O4 0.031 0.665 0.083
O5 0.305 0.000 0.250
O6 0.305 0.305 0.750
O7 0.335 0.365 0.083
O8 0.335 0.969 0.583
O9 0.365 0.031 0.917
O10 0.365 0.335 0.417
O11 0.635 0.665 0.583
O12 0.635 0.969 0.083
O13 0.665 0.031 0.417
O14 0.665 0.635 0.917
O15 0.695 0.000 0.750
O16 0.695 0.695 0.250
O17 0.969 0.335 0.917
O18 0.969 0.635 0.417

***

Record 4
The following is a DFT calculation (GGA+U) of an optimized crystal structure of Cr2Ga2O7.

Summary:
Uncorrected energy: -0.483 Ry per atom
DOS(E_F): 1.26 states/eV/f.u.
V: 131 Å³/f.u.

abc: 5.217 5.217 5.188
angles: 95.58 95.58 110.29
Atoms (fractional coordinates):
Cr1 0.190 0.810 0.000
Cr2 0.810 0.190 0.000
Ga1 0.241 0.241 0.604
Ga2 0.759 0.759 0.396
O1 0.056 0.056 0.246
O2 0.074 0.460 0.800
O3 0.460 0.074 0.800
O4 0.500 0.500 0.500
O5 0.540 0.926 0.200
O6 0.926 0.540 0.200
O7 0.944 0.944 0.754

***

Record 5
The following is a DFT calculation (GGA+U) of an optimized crystal structure of Cr3GaO.

Summary:
Uncorrected energy: -0.467 Ry per atom
DOS(E_F): 1.42 states/eV/f.u.
V: 76 Å³/f.u.

abc: 4.231 4.231 4.231
angles: 90.00 90.00 90.00
Atoms (fractional coordinates):
Cr1 0.000 0.000 0.500
Cr2 0.000 0.500 0.000
Cr3 0.500 0.000 0.000
Ga1 0.500 0.500 0.500
O1 0.000 0.000 0.000

***

Record 6
The following is a DFT calculation (GGA+U) of an optimized crystal structure of Cr2GaO4.

Summary:
Uncorrected energy: -0.530 Ry per atom
DOS(E_F): 0.70 states/eV/f.u.
V: 78 Å³/f.u.

abc: 5.984 5.984 10.452
angles: 105.64 105.64 61.10
Atoms (fractional coordinates):
Cr1 0.000 0.000 0.000
Cr2 0.000 0.000 0.500
Cr3 0.000 0.500 0.500
Cr4 0.227 0.773 0.750
Cr5 0.500 0.000 0.000
Cr6 0.500 0.500 0.000
Cr7 0.500 0.500 0.500
Cr8 0.773 0.227 0.250
Ga1 0.089 0.552 0.196
Ga2 0.448 0.911 0.304
Ga3 0.552 0.089 0.696
Ga4 0.911 0.448 0.804
O1 0.091 0.658 0.867
O2 0.097 0.127 0.871
O3 0.127 0.097 0.371
O4 0.133 0.633 0.388
O5 0.342 0.909 0.633
O6 0.355 0.413 0.633
O7 0.367 0.867 0.112
O8 0.413 0.355 0.133
O9 0.587 0.645 0.867
O10 0.633 0.133 0.888
O11 0.645 0.587 0.367
O12 0.658 0.091 0.367
O13 0.867 0.367 0.612
O14 0.873 0.903 0.629
O15 0.903 0.873 0.129
O16 0.909 0.342 0.133

***

Record 7
The following is a DFT calculation (GGA+U) of an optimized crystal structure of Cr3Ga5O12.

Summary:
Uncorrected energy: -0.475 Ry per atom
V: 214 Å³/f.u.

abc: 10.355 10.355 10.355
angles: 109.47 109.47 109.47
Atoms (fractional coordinates):
Cr1 0.125 0.250 0.375
Cr2 0.125 0.375 0.750
Cr3 0.250 0.375 0.125
Cr4 0.250 0.875 0.625
Cr5 0.375 0.125 0.250
Cr6 0.375 0.750 0.125
Cr7 0.625 0.250 0.875
Cr8 0.625 0.875 0.750
Cr9 0.750 0.125 0.375
Cr10 0.750 0.625 0.875
Cr11 0.875 0.625 0.250
Cr12 0.875 0.750 0.625
Ga1 0.000 0.000 0.000
Ga2 0.000 0.000 0.500
Ga3 0.000 0.500 0.000
Ga4 0.000 0.500 0.500
Ga5 0.125 0.750 0.875
Ga6 0.125 0.875 0.250
Ga7 0.250 0.125 0.875
Ga8 0.250 0.625 0.375
Ga9 0.375 0.250 0.625
Ga10 0.375 0.625 0.750
Ga11 0.500 0.000 0.000
Ga12 0.500 0.000 0.500
Ga13 0.500 0.500 0.000
Ga14 0.500 0.500 0.500
Ga15 0.625 0.375 0.250
Ga16 0.625 0.750 0.375
Ga17 0.750 0.375 0.625
Ga18 0.750 0.875 0.125
Ga19 0.875 0.125 0.750
Ga20 0.875 0.250 0.125
O1 0.040 0.215 0.131
O2 0.040 0.325 0.909
O3 0.084 0.715 0.675
O4 0.084 0.869 0.409
O5 0.091 0.631 0.416
O6 0.091 0.960 0.675
O7 0.131 0.040 0.215
O8 0.131 0.591 0.916
O9 0.175 0.215 0.584
O10 0.175 0.460 0.591
O11 0.215 0.131 0.040
O12 0.215 0.584 0.175
O13 0.285 0.325 0.916
O14 0.285 0.460 0.369
O15 0.325 0.909 0.040
O16 0.325 0.916 0.285
O17 0.369 0.285 0.460
O18 0.369 0.584 0.909
O19 0.409 0.084 0.869
O20 0.409 0.825 0.540
O21 0.416 0.091 0.631
O22 0.416 0.825 0.785
O23 0.460 0.369 0.285
O24 0.460 0.591 0.175
O25 0.540 0.409 0.825
O26 0.540 0.631 0.715
O27 0.584 0.175 0.215
O28 0.584 0.909 0.369
O29 0.591 0.175 0.460
O30 0.591 0.916 0.131
O31 0.631 0.416 0.091
O32 0.631 0.715 0.540
O33 0.675 0.084 0.715
O34 0.675 0.091 0.960
O35 0.715 0.540 0.631
O36 0.715 0.675 0.084
O37 0.785 0.416 0.825
O38 0.785 0.869 0.960
O39 0.825 0.540 0.409
O40 0.825 0.785 0.416
O41 0.869 0.409 0.084
O42 0.869 0.960 0.785
O43 0.909 0.040 0.325
O44 0.909 0.369 0.584
O45 0.916 0.131 0.591
O46 0.916 0.285 0.325
O47 0.960 0.675 0.091
O48 0.960 0.785 0.869

***

Record 8
The following is a DFT calculation (GGA+U) of an optimized crystal structure of CrGaPO2.

Summary:
Uncorrected energy: -0.424 Ry per atom
DOS(E_F): 1.40 states/eV/f.u.
V: 70 Å³/f.u.

abc: 3.666 3.666 5.240
angles: 90.00 90.00 90.00
Atoms (fractional coordinates):
Cr1 0.000 0.000 0.000
Ga1 0.500 0.500 0.500
P1 0.000 0.000 0.500
O1 0.000 0.500 0.000
O2 0.500 0.000 0.000

***

Record 9
The following is a DFT calculation (GGA+U) of an optimized crystal structure of CrGa2PO6.

Summary:
Uncorrected energy: -0.477 Ry per atom
DOS(E_F): 1.02 states/eV/f.u.
V: 120 Å³/f.u.

abc: 6.875 6.875 5.558
angles: 105.33 105.33 96.81
Atoms (fractional coordinates):
Cr1 0.099 0.901 0.750
Cr2 0.901 0.099 0.250
Ga1 0.275 0.450 0.837
Ga2 0.450 0.275 0.337
Ga3 0.550 0.725 0.663
Ga4 0.725 0.550 0.163
P1 0.203 0.797 0.250
P2 0.797 0.203 0.750
O1 0.012 0.213 0.674
O2 0.117 0.649 0.931
O3 0.213 0.012 0.174
O4 0.309 0.442 0.514
O5 0.351 0.883 0.569
O6 0.442 0.309 0.014
O7 0.558 0.691 0.986
O8 0.649 0.117 0.431
O9 0.691 0.558 0.486
O10 0.787 0.988 0.826
O11 0.883 0.351 0.069
O12 0.988 0.787 0.326

***

Record 10
The following is a DFT calculation (GGA+U) of an optimized crystal structure of CrGaPO2.

Summary:
Uncorrected energy: -0.400 Ry per atom
DOS(E_F): 2.71 states/eV/f.u.
V: 79 Å³/f.u.

abc: 3.681 3.681 5.818
angles: 90.00 90.00 90.00
Atoms (fractional coordinates):
Cr1 0.000 0.000 0.000
Ga1 0.500 0.500 0.500
P1 0.500 0.500 0.000
O1 0.000 0.500 0.500
O2 0.500 0.000 0.500

***

Record 11
The following is a DFT calculation (GGA+U) of an optimized crystal structure of PaCrGa2O8.

Summary:
Uncorrected energy: -0.522 Ry per atom
DOS(E_F): 7.15 states/eV/f.u.
V: 149 Å³/f.u.

abc: 5.781 5.781 5.781
angles: 110.36 110.36 107.71
Atoms (fractional coordinates):
Pa1 0.000 0.000 0.000
Cr1 0.250 0.750 0.500
Ga1 0.500 0.500 0.000
Ga2 0.750 0.250 0.500
O1 0.303 0.099 0.797
O2 0.303 0.506 0.203
O3 0.368 0.054 0.314
O4 0.494 0.697 0.797
O5 0.740 0.054 0.686
O6 0.901 0.697 0.203
O7 0.946 0.260 0.314
O8 0.946 0.632 0.686

***

Record 12
The following is a DFT calculation (GGA+U) of an optimized crystal structure of PaCr2GaO8.

Summary:
Uncorrected energy: -0.557 Ry per atom
V: 151 Å³/f.u.

abc: 5.811 5.811 5.811
angles: 108.72 108.72 110.99
Atoms (fractional coordinates):
Pa1 0.000 0.000 0.000
Cr1 0.250 0.750 0.500
Cr2 0.500 0.500 0.000
Ga1 0.750 0.250 0.500
O1 0.065 0.375 0.311
O2 0.065 0.754 0.689
O3 0.114 0.312 0.801
O4 0.246 0.935 0.311
O5 0.511 0.312 0.199
O6 0.625 0.935 0.689
O7 0.688 0.489 0.801
O8 0.688 0.886 0.199